No. 1
DFT (PBE) results for Sc2FeI after structural relaxation.

Results
The distance to the lowest polymorph of the same formula is 1.37 eV/f.u. Its density is 5.68 g cm⁻³. The total magnetic moment is 0.0 μB per cell. The total energy comes out at -5.4069 eV/atom.

a = 4.8316 Å, b = 4.8316 Å, c = 4.8316 Å
α = 60.00°, β = 60.00°, γ = 60.00°
Closest atoms and distances in Å follow each position.
Positions (direct):
I: 0.5000 0.5000 0.5000  8 Sc 2.96
Fe: 0.0000 0.0000 0.0000  8 Sc 2.96
Sc: 0.2500 0.2500 0.2500  4 Fe 2.96, 4 I 2.96
Sc: 0.7500 0.7500 0.7500  4 Fe 2.96, 4 I 2.96

No. 2
DFT (PBE) results for ScFeI2 after structural relaxation.

Results
The distance to the lowest polymorph of the same formula is 0.00 eV/f.u. Its density is 4.85 g cm⁻³. The total magnetic moment is 2.0 μB per cell. The total energy comes out at -4.3214 eV/atom.

a = 6.3962 Å, b = 6.3962 Å, c = 7.4584 Å
α = 64.61°, β = 64.61°, γ = 90.00°
Closest atoms and distances in Å follow each position.
Positions (direct):
Sc: 0.5000 0.5000 0.0000  4 I 2.87
Sc: 0.2500 0.7500 0.5000  4 I 2.87
I: 0.0824 0.6250 0.2500  2 Fe 2.55
I: 0.6676 0.1250 0.2500  2 Fe 2.55
I: 0.3750 0.3324 0.7500  2 Fe 2.55
I: 0.8750 0.9176 0.7500  2 Fe 2.55
Fe: 0.7500 0.2500 0.5000  4 I 2.55
Fe: 0.0000 0.0000 0.0000  4 I 2.55

No. 3
DFT (PBE) results for Sc2FeI after structural relaxation.

Results
The distance to the lowest polymorph of the same formula is 0.00 eV/f.u. Its density is 4.28 g cm⁻³. The total magnetic moment is 0.7 μB per cell. The total energy comes out at -5.7485 eV/atom.

a = 8.6045 Å, b = 8.6045 Å, c = 8.6045 Å
α = 25.75°, β = 25.75°, γ = 25.75°
Closest atoms and distances in Å follow each position.
Positions (direct):
I: 0.0000 0.0000 0.0000  2 Sc 2.85
Sc: 0.8857 0.8857 0.8857  3 Fe 2.57, 1 I 2.85
Sc: 0.1143 0.1143 0.1143  3 Fe 2.57, 1 I 2.85
Fe: 0.5000 0.5000 0.5000  6 Sc 2.57

No. 4
DFT (PBE) results for Sc3FeI after structural relaxation.

Results
The distance to the lowest polymorph of the same formula is 0.00 eV/f.u. Its density is 4.44 g cm⁻³. The total magnetic moment is 0.0 μB per cell. The total energy comes out at -5.8182 eV/atom.

a = 4.9166 Å, b = 4.9166 Å, c = 4.9166 Å
α = 90.00°, β = 90.00°, γ = 90.00°
Closest atoms and distances in Å follow each position.
Positions (direct):
Sc: 0.0000 0.5000 0.0000  2 Fe 2.46
Sc: 0.5000 0.0000 0.0000  2 Fe 2.46
Sc: 0.0000 0.0000 0.5000  2 Fe 2.46
Fe: 0.0000 0.0000 0.0000  6 Sc 2.46
I: 0.5000 0.5000 0.5000  12 Sc 3.48

No. 5
DFT (PBE) results for Sc2FeI after structural relaxation.

Results
The distance to the lowest polymorph of the same formula is 1.16 eV/f.u. Its density is 5.26 g cm⁻³. The total magnetic moment is 0.0 μB per cell. The total energy comes out at -5.4589 eV/atom.

a = 7.4164 Å, b = 7.4164 Å, c = 6.1078 Å
α = 52.62°, β = 52.62°, γ = 90.00°
Closest atoms and distances in Å follow each position.
Positions (direct):
Sc: 0.1940 0.6250 0.2500  2 Fe 2.42
Sc: 0.5560 0.1250 0.2500  2 Fe 2.42
Sc: 0.8750 0.8060 0.7500  2 Fe 2.42
Sc: 0.3750 0.4440 0.7500  2 Fe 2.42
Fe: 0.5000 0.5000 0.0000  4 Sc 2.42
Fe: 0.2500 0.7500 0.5000  4 Sc 2.42
I: 0.0000 0.0000 0.0000  8 Sc 3.11-3.28, 2 Fe 3.13
I: 0.7500 0.2500 0.5000  8 Sc 3.11-3.28, 2 Fe 3.13

No. 6
DFT (PBE) results for ScZnFeI2 after structural relaxation.

Results
Its density is 5.34 g cm⁻³. The total magnetic moment is 0.0 μB per cell. The total energy comes out at -3.5293 eV/atom.

a = 5.3263 Å, b = 4.6038 Å, c = 5.3263 Å
α = 90.00°, β = 90.00°, γ = 90.00°
Closest atoms and distances in Å follow each position.
Positions (direct):
I: 0.5000 0.0000 0.0000  2 Fe 2.66
I: 0.0000 0.0000 0.5000  2 Fe 2.66
Sc: 0.0000 0.5000 0.0000  2 Fe 2.30
Fe: 0.0000 0.0000 0.0000  2 Sc 2.30
Zn: 0.5000 0.5000 0.5000  8 I 3.52, 4 Sc 3.77

No. 7
DFT (PBE) results for FeSe2I2 after structural relaxation.

Results
The distance to the lowest polymorph of the same formula is 1.02 eV/f.u. Its density is 4.44 g cm⁻³. The total magnetic moment is 3.4 μB per cell. The total energy comes out at -3.3509 eV/atom.

a = 6.2384 Å, b = 6.2384 Å, c = 6.3003 Å
α = 60.32°, β = 60.32°, γ = 90.00°
Closest atoms and distances in Å follow each position.
Positions (direct):
I: 0.7500 0.2500 0.5000  4 Se 3.12
I: 0.2500 0.7500 0.5000  4 Se 3.12
Se: 0.7468 0.7468 0.5065  1 Fe 2.28
Se: 0.2532 0.2532 0.4935  1 Fe 2.28
Fe: 0.0000 0.0000 0.0000  2 Se 2.28

No. 8
DFT (PBE) results for FeSe2I after structural relaxation.

Results
The distance to the lowest polymorph of the same formula is 0.63 eV/f.u. Its density is 5.29 g cm⁻³. The total magnetic moment is 0.7 μB per cell. The total energy comes out at -4.1446 eV/atom.

a = 6.6262 Å, b = 6.6262 Å, c = 6.7607 Å
α = 60.66°, β = 60.66°, γ = 90.00°
Closest atoms and distances in Å follow each position.
Positions (direct):
Se: 0.8750 0.7531 0.7500  2 Fe 2.22
Se: 0.5031 0.1250 0.2500  2 Fe 2.22
Se: 0.2469 0.6250 0.2500  2 Fe 2.22
Se: 0.3750 0.4969 0.7500  2 Fe 2.22
I: 0.0000 0.0000 0.0000  4 Se 3.21
I: 0.7500 0.2500 0.5000  4 Se 3.21
Fe: 0.2500 0.7500 0.5000  4 Se 2.22
Fe: 0.5000 0.5000 0.0000  4 Se 2.22

The evaluated formation energy (no corrections) for the records listed, in turn: 6.0; 3.5; -1.8; -0.4; 4.8; 7.0; 8.2; 2.3 kcal/mol of atoms.